LiFeO2: optimized geometry, GGA-PBEsol.

Properties
**V**: 11.0 Å³/atom
**Calculated density**: 3.57 Mg/m³
**DFT total energy**: -27.27 eV/f.u.
**Total magnetization**: 10.0 Bohr magnetons per cell
**Uncorrected formation energy**: -1.4604 eV per atom

abc: 5.414 5.414 5.414
angles: 131.09 131.09 71.67
Fractional coordinates of all 8 atoms:
Li: 0.000 0.000 0.000
Li: 0.750 0.250 0.500
Fe: 0.250 0.750 0.500
Fe: 0.500 0.500 0.000
O: 0.140 0.625 0.015
O: 0.375 0.390 0.515
O: 0.610 0.125 0.985
O: 0.875 0.860 0.485

=====

Li9Fe5O12: optimized geometry, GGA-PBEsol.

Properties
**V**: 8.2 Å³/atom
**Calculated density**: 4.17 Mg/m³
**DFT total energy**: -166.66 eV/f.u.
**Total magnetization**: 13.0 Bohr magnetons per cell
**Uncorrected formation energy**: -1.5827 eV per atom

abc: 5.017 5.017 9.883
angles: 94.68 94.68 120.00
Fractional coordinates of all 26 atoms:
Li: 0.000 0.000 0.000
Li: 0.219 0.643 0.736
Li: 0.224 0.224 0.256
Li: 0.244 0.244 0.810
Li: 0.357 0.781 0.264
Li: 0.643 0.219 0.736
Li: 0.756 0.756 0.190
Li: 0.776 0.776 0.744
Li: 0.781 0.357 0.264
Fe: 0.158 0.842 0.500
Fe: 0.329 0.671 0.000
Fe: 0.500 0.500 0.500
Fe: 0.671 0.329 0.000
Fe: 0.842 0.158 0.500
O: 0.033 0.674 0.111
O: 0.148 0.466 0.385
O: 0.229 0.229 0.621
O: 0.326 0.967 0.889
O: 0.397 0.397 0.104
O: 0.466 0.148 0.385
O: 0.534 0.852 0.615
O: 0.603 0.603 0.896
O: 0.674 0.033 0.111
O: 0.771 0.771 0.379
O: 0.852 0.534 0.615
O: 0.967 0.326 0.889

=====

Li3FeO3: optimized geometry, GGA-PBEsol.

Properties
**V**: 10.1 Å³/atom
**Calculated density**: 2.93 Mg/m³
**DFT total energy**: -42.10 eV/f.u.
**Total magnetization**: 20.0 Bohr magnetons per cell
**Uncorrected formation energy**: -1.6410 eV per atom
**Energy relative to the lowest polymorph listed for this composition**: 0.094 eV per atom

abc: 5.288 11.180 5.644
angles: 90.00 122.24 90.00
Fractional coordinates of all 28 atoms:
Li: 0.000 0.000 0.238
Li: 0.000 0.000 0.762
Li: 0.000 0.500 0.262
Li: 0.000 0.500 0.738
Li: 0.032 0.249 0.263
Li: 0.032 0.251 0.763
Li: 0.419 0.125 0.708
Li: 0.419 0.375 0.208
Li: 0.581 0.625 0.792
Li: 0.581 0.875 0.292
Li: 0.968 0.749 0.237
Li: 0.968 0.751 0.737
Fe: 0.438 0.639 0.221
Fe: 0.438 0.861 0.721
Fe: 0.562 0.139 0.279
Fe: 0.562 0.361 0.779
O: 0.023 0.630 0.013
O: 0.023 0.870 0.513
O: 0.319 0.009 0.159
O: 0.319 0.491 0.659
O: 0.470 0.250 0.483
O: 0.470 0.250 0.983
O: 0.530 0.750 0.017
O: 0.530 0.750 0.517
O: 0.681 0.509 0.341
O: 0.681 0.991 0.841
O: 0.977 0.130 0.487
O: 0.977 0.370 0.987

=====

Li5Fe4O8: optimized geometry, GGA-PBEsol.

Properties
**V**: 8.6 Å³/atom
**Calculated density**: 4.40 Mg/m³
**DFT total energy**: -112.66 eV/f.u.
**Total magnetization**: 15.0 Bohr magnetons per cell
**Uncorrected formation energy**: -1.4690 eV per atom

abc: 5.960 5.960 5.960
angles: 58.88 58.88 58.88
Fractional coordinates of all 17 atoms:
Li: 0.000 0.000 0.000
Li: 0.362 0.362 0.362
Li: 0.424 0.834 0.834
Li: 0.834 0.424 0.834
Li: 0.834 0.834 0.424
Fe: 0.361 0.361 0.860
Fe: 0.361 0.860 0.361
Fe: 0.853 0.853 0.853
Fe: 0.860 0.361 0.361
O: 0.091 0.091 0.624
O: 0.091 0.624 0.091
O: 0.101 0.621 0.621
O: 0.119 0.119 0.119
O: 0.606 0.606 0.606
O: 0.621 0.101 0.621
O: 0.621 0.621 0.101
O: 0.624 0.091 0.091